one:
NbHgSeO | GGA-PBE | optimized geometry

Computed properties:
crystal system: monoclinic

a = 7.7057 Å, b = 6.6529 Å, c = 5.7502 Å
α = 90.00°, β = 92.56°, γ = 90.00°
Element x y z (fractional)
Hg (0.9324, 0.3017, 0.0254)
Hg (0.0676, 0.8017, 0.4746)
Hg (0.9324, 0.1983, 0.5254)
Hg (0.0676, 0.6983, 0.9746)
Nb (0.4893, 0.1273, 0.2261)
Nb (0.5107, 0.6273, 0.2739)
Nb (0.4893, 0.3727, 0.7261)
Nb (0.5107, 0.8727, 0.7739)
O (0.6058, 0.3701, 0.0961)
O (0.3942, 0.8701, 0.4039)
O (0.6058, 0.1299, 0.5961)
O (0.3942, 0.6299, 0.9039)
Se (0.7387, 0.8996, 0.1010)
Se (0.2613, 0.3996, 0.3990)
Se (0.7387, 0.6004, 0.6010)
Se (0.2613, 0.1004, 0.8990)



two:
NbHgSeO | GGA-PBE | optimized geometry

Computed properties:
crystal system: monoclinic

a = 5.3033 Å, b = 5.3166 Å, c = 11.7567 Å
α = 90.00°, β = 92.85°, γ = 90.00°
Element x y z (fractional)
Hg (0.0118, 0.3124, 0.3190)
Hg (0.3241, 0.6017, 0.4996)
Hg (0.6759, 0.1017, 0.5004)
Hg (0.9882, 0.8124, 0.6810)
Nb (0.0598, 0.7753, 0.0732)
Nb (0.4536, 0.3822, 0.0733)
Nb (0.5464, 0.8822, 0.9267)
Nb (0.9402, 0.2753, 0.9268)
O (0.2503, 0.0759, 0.0004)
O (0.7623, 0.0813, 0.0595)
O (0.2377, 0.5813, 0.9405)
O (0.7497, 0.5759, 0.9996)
Se (0.7184, 0.6432, 0.2404)
Se (0.3352, 0.0280, 0.2414)
Se (0.6648, 0.5280, 0.7586)
Se (0.2816, 0.1432, 0.7596)



Each structure's energy above the most stable one, in meV per atom: one 0; two 133.



one:
MgAgTeO | GGA-PBE | optimized geometry

Computed properties:
crystal system: orthorhombic

a = 6.4940 Å, b = 5.9806 Å, c = 8.2344 Å
α = 90.00°, β = 90.00°, γ = 90.00°
Element x y z (fractional)
Ag (0.4339, 0.6907, 0.1334)
Ag (0.5661, 0.1907, 0.3666)
Ag (0.0661, 0.3093, 0.6334)
Ag (0.9339, 0.8093, 0.8666)
Mg (0.2662, 0.1891, 0.0147)
Mg (0.7338, 0.6891, 0.4853)
Mg (0.2338, 0.8109, 0.5147)
Mg (0.7662, 0.3109, 0.9853)
O (0.5140, 0.3064, 0.1045)
O (0.4860, 0.8064, 0.3955)
O (0.9860, 0.6936, 0.6045)
O (0.0140, 0.1936, 0.8955)
Te (0.9928, 0.6790, 0.1880)
Te (0.0072, 0.1790, 0.3120)
Te (0.5072, 0.3210, 0.6880)
Te (0.4928, 0.8210, 0.8120)



two:
MgAgTeO | GGA-PBE | optimized geometry

Computed properties:
crystal system: tetragonal

a = 4.2077 Å, b = 4.2077 Å, c = 9.9406 Å
α = 90.00°, β = 90.00°, γ = 90.00°
Element x y z (fractional)
Ag (0.2500, 0.2500, 0.4527)
Ag (0.7500, 0.7500, 0.5473)
Mg (0.7500, 0.7500, 0.1311)
Mg (0.2500, 0.2500, 0.8689)
O (0.7500, 0.2500, 0.5000)
O (0.2500, 0.7500, 0.5000)
Te (0.2500, 0.2500, 0.1548)
Te (0.7500, 0.7500, 0.8452)



Each structure's energy above the most stable one, in meV per atom: one 0; two 547.



one:
PrAl2Hg | GGA-PBE | optimized geometry

Computed properties:
crystal system: orthorhombic

a = 4.6522 Å, b = 6.7897 Å, c = 6.7897 Å
α = 58.65°, β = 90.00°, γ = 90.00°
Element x y z (fractional)
Al (0.0000, 0.1437, 0.1437)
Al (0.5000, 0.8627, 0.2811)
Al (0.5000, 0.2811, 0.8627)
Al (0.5000, 0.8649, 0.8649)
Hg (0.0000, 0.6875, 0.1658)
Hg (0.0000, 0.1658, 0.6875)
Pr (0.5000, 0.3235, 0.3235)
Pr (0.0000, 0.6709, 0.6709)



two:
PrAl2Hg | GGA-PBE | optimized geometry

Computed properties:
crystal system: orthorhombic

a = 4.7589 Å, b = 6.6708 Å, c = 6.6708 Å
α = 120.30°, β = 90.00°, γ = 90.00°
Element x y z (fractional)
Al (0.7500, 0.2887, 0.1482)
Al (0.7500, 0.8667, 0.1535)
Al (0.2500, 0.1482, 0.2887)
Al (0.2500, 0.1535, 0.8667)
Hg (0.7500, 0.8593, 0.6920)
Hg (0.2500, 0.6920, 0.8593)
Pr (0.2500, 0.6625, 0.3290)
Pr (0.7500, 0.3290, 0.6625)



Each structure's energy above the most stable one, in meV per atom: one 0; two 21.



one:
LuTlCdTe3 | GGA-PBE | optimized geometry

Computed properties:
crystal system: orthorhombic

a = 11.6261 Å, b = 4.4221 Å, c = 15.3329 Å
α = 90.00°, β = 90.00°, γ = 90.00°
Element x y z (fractional)
Cd (0.7386, 0.2500, 0.2138)
Cd (0.2386, 0.2500, 0.2862)
Cd (0.7614, 0.7500, 0.7138)
Cd (0.2614, 0.7500, 0.7862)
Lu (0.9844, 0.7500, 0.2459)
Lu (0.4844, 0.7500, 0.2541)
Lu (0.5156, 0.2500, 0.7459)
Lu (0.0156, 0.2500, 0.7541)
Te (0.9385, 0.2500, 0.1115)
Te (0.5311, 0.2500, 0.1194)
Te (0.2353, 0.7500, 0.1689)
Te (0.7353, 0.7500, 0.3311)
Te (0.0311, 0.2500, 0.3806)
Te (0.4385, 0.2500, 0.3885)
Te (0.5615, 0.7500, 0.6115)
Te (0.9689, 0.7500, 0.6194)
Te (0.2647, 0.2500, 0.6689)
Te (0.7647, 0.2500, 0.8311)
Te (0.4689, 0.7500, 0.8806)
Te (0.0615, 0.7500, 0.8885)
Tl (0.7294, 0.7500, 0.0114)
Tl (0.2294, 0.7500, 0.4886)
Tl (0.7706, 0.2500, 0.5114)
Tl (0.2706, 0.2500, 0.9886)



two:
LuTlCdTe3 | GGA-PBE | optimized geometry

Computed properties:
crystal system: orthorhombic

a = 12.5971 Å, b = 4.5252 Å, c = 13.8666 Å
α = 90.00°, β = 90.00°, γ = 90.00°
Element x y z (fractional)
Cd (0.2467, 0.2500, 0.2052)
Cd (0.7467, 0.2500, 0.2948)
Cd (0.2533, 0.7500, 0.7052)
Cd (0.7533, 0.7500, 0.7948)
Lu (0.5185, 0.7500, 0.1939)
Lu (0.0185, 0.7500, 0.3061)
Lu (0.9815, 0.2500, 0.6939)
Lu (0.4815, 0.2500, 0.8061)
Te (0.4181, 0.2500, 0.0737)
Te (0.0268, 0.2500, 0.1505)
Te (0.7566, 0.7500, 0.1666)
Te (0.2566, 0.7500, 0.3334)
Te (0.5268, 0.2500, 0.3495)
Te (0.9181, 0.2500, 0.4263)
Te (0.0819, 0.7500, 0.5737)
Te (0.4732, 0.7500, 0.6505)
Te (0.7434, 0.2500, 0.6666)
Te (0.2434, 0.2500, 0.8334)
Te (0.9732, 0.7500, 0.8495)
Te (0.5819, 0.7500, 0.9263)
Tl (0.1814, 0.7500, 0.0124)
Tl (0.6814, 0.7500, 0.4876)
Tl (0.3186, 0.2500, 0.5124)
Tl (0.8186, 0.2500, 0.9876)



Each structure's energy above the most stable one, in meV per atom: one 0; two 67.



one:
Cu5Ag4 | GGA-PBE | optimized geometry

Computed properties:
crystal system: monoclinic

a = 7.1639 Å, b = 7.1639 Å, c = 8.1609 Å
α = 123.57°, β = 123.57°, γ = 22.46°
Element x y z (fractional)
Ag (0.3328, 0.3328, 0.0000)
Ag (0.0011, 0.0011, 0.3295)
Ag (0.6708, 0.6708, 0.6639)
Ag (0.9955, 0.9955, 0.6715)
Cu (0.0078, 0.0078, 0.0059)
Cu (0.6662, 0.6662, 0.0157)
Cu (0.3226, 0.3226, 0.3279)
Cu (0.6720, 0.6720, 0.3282)
Cu (0.3310, 0.3310, 0.6572)



two:
Cu5Ag4 | GGA-PBE | optimized geometry

Computed properties:
crystal system: monoclinic

a = 7.2401 Å, b = 7.2401 Å, c = 6.6253 Å
α = 91.53°, β = 91.53°, γ = 22.29°
Element x y z (fractional)
Ag (0.8805, 0.8805, 0.3100)
Ag (0.5595, 0.5595, 0.3256)
Ag (0.4406, 0.4406, 0.6744)
Ag (0.1195, 0.1195, 0.6900)
Cu (0.0000, 0.0000, 0.0000)
Cu (0.6758, 0.6758, 0.0191)
Cu (0.2224, 0.2224, 0.3361)
Cu (0.7776, 0.7776, 0.6639)
Cu (0.3242, 0.3242, 0.9809)



Each structure's energy above the most stable one, in meV per atom: one 12; two 0.



one:
ZrCoAgSb | GGA-PBE | optimized geometry

Computed properties:
crystal system: cubic

a = 4.6856 Å, b = 4.6856 Å, c = 4.6856 Å
α = 60.00°, β = 60.00°, γ = 60.00°
Element x y z (fractional)
Ag (0.5000, 0.5000, 0.5000)
Co (0.7500, 0.7500, 0.7500)
Sb (0.0000, 0.0000, 0.0000)
Zr (0.2500, 0.2500, 0.2500)



two:
ZrCoAgSb | GGA-PBE | optimized geometry

Computed properties:
crystal system: cubic

a = 4.6774 Å, b = 4.6774 Å, c = 4.6774 Å
α = 60.00°, β = 60.00°, γ = 60.00°
Element x y z (fractional)
Ag (0.2500, 0.2500, 0.2500)
Co (0.7500, 0.7500, 0.7500)
Sb (0.0000, 0.0000, 0.0000)
Zr (0.5000, 0.5000, 0.5000)



Each structure's energy above the most stable one, in meV per atom: one 53; two 0.



one:
HfAgPO | GGA-PBE | optimized geometry

Computed properties:
crystal system: tetragonal

a = 5.2045 Å, b = 5.2045 Å, c = 4.5623 Å
α = 90.00°, β = 90.00°, γ = 90.00°
Element x y z (fractional)
Ag (0.0000, 0.5000, 0.0512)
Ag (0.5000, 0.0000, 0.9488)
Hf (0.0000, 0.0000, 0.5000)
Hf (0.5000, 0.5000, 0.5000)
O (0.0000, 0.0000, 0.0000)
O (0.5000, 0.5000, 0.0000)
P (0.5000, 0.0000, 0.4510)
P (0.0000, 0.5000, 0.5490)



two:
HfAgPO | GGA-PBE | optimized geometry

Computed properties:
crystal system: orthorhombic

a = 4.0958 Å, b = 5.9742 Å, c = 5.4461 Å
α = 90.00°, β = 90.00°, γ = 90.00°
Element x y z (fractional)
Ag (0.0000, 0.0760, 0.4991)
Ag (0.0000, 0.9240, 0.9991)
Hf (0.5000, 0.7025, 0.4092)
Hf (0.5000, 0.2975, 0.9092)
O (0.0000, 0.6871, 0.4338)
O (0.0000, 0.3129, 0.9338)
P (0.5000, 0.2675, 0.4120)
P (0.5000, 0.7325, 0.9120)



Each structure's energy above the most stable one, in meV per atom: one 193; two 0.



one:
HfCdAsO | GGA-PBE | optimized geometry

Computed properties:
crystal system: tetragonal

a = 4.4892 Å, b = 4.4892 Å, c = 8.1931 Å
α = 90.00°, β = 90.00°, γ = 90.00°
Element x y z (fractional)
As (0.7500, 0.7500, 0.3333)
As (0.2500, 0.2500, 0.6667)
Cd (0.2500, 0.2500, 0.0533)
Cd (0.7500, 0.7500, 0.9467)
Hf (0.7500, 0.2500, 0.5000)
Hf (0.2500, 0.7500, 0.5000)
O (0.7500, 0.2500, 0.0000)
O (0.2500, 0.7500, 0.0000)



two:
HfCdAsO | GGA-PBE | optimized geometry

Computed properties:
crystal system: orthorhombic

a = 4.0541 Å, b = 6.8707 Å, c = 5.5411 Å
α = 90.00°, β = 90.00°, γ = 90.00°
Element x y z (fractional)
As (0.0000, 0.7768, 0.3946)
As (0.0000, 0.2232, 0.8946)
Cd (0.5000, 0.4356, 0.0432)
Cd (0.5000, 0.5644, 0.5432)
Hf (0.0000, 0.1637, 0.4043)
Hf (0.0000, 0.8363, 0.9043)
O (0.5000, 0.2048, 0.4119)
O (0.5000, 0.7952, 0.9119)



Each structure's energy above the most stable one, in meV per atom: one 576; two 0.



one:
TaSbNO | GGA-PBE | optimized geometry

Computed properties:
crystal system: tetragonal

a = 4.0400 Å, b = 4.0400 Å, c = 7.9848 Å
α = 90.00°, β = 90.00°, γ = 90.00°
Element x y z (fractional)
N (0.7500, 0.7500, 0.4394)
N (0.2500, 0.2500, 0.5606)
O (0.7500, 0.2500, 0.0000)
O (0.2500, 0.7500, 0.0000)
Sb (0.2500, 0.2500, 0.1428)
Sb (0.7500, 0.7500, 0.8572)
Ta (0.7500, 0.2500, 0.5000)
Ta (0.2500, 0.7500, 0.5000)



two:
TaSbNO | GGA-PBE | optimized geometry

Computed properties:
crystal system: orthorhombic

a = 3.2066 Å, b = 6.8210 Å, c = 6.8360 Å
α = 90.00°, β = 90.00°, γ = 90.00°
Element x y z (fractional)
N (0.0000, 0.6189, 0.2027)
N (0.0000, 0.3811, 0.7027)
O (0.5000, 0.2600, 0.0582)
O (0.5000, 0.7400, 0.5581)
Sb (0.5000, 0.2290, 0.4928)
Sb (0.5000, 0.7710, 0.9928)
Ta (0.0000, 0.5963, 0.4923)
Ta (0.0000, 0.4037, 0.9923)



Each structure's energy above the most stable one, in meV per atom: one 393; two 0.



one:
BaZn2Au2 | GGA-PBE | optimized geometry

Computed properties:
crystal system: tetragonal

a = 6.1114 Å, b = 6.1114 Å, c = 6.1114 Å
α = 134.15°, β = 134.15°, γ = 66.86°
Element x y z (fractional)
Au (0.7500, 0.2500, 0.5000)
Au (0.2500, 0.7500, 0.5000)
Ba (0.0000, 0.0000, 0.0000)
Zn (0.3705, 0.3705, 0.0000)
Zn (0.6295, 0.6295, 0.0000)



two:
BaZn2Au2 | GGA-PBE | optimized geometry

Computed properties:
crystal system: tetragonal

a = 6.6613 Å, b = 6.6613 Å, c = 6.6613 Å
α = 140.66°, β = 140.66°, γ = 56.86°
Element x y z (fractional)
Au (0.3745, 0.3745, 0.0000)
Au (0.6255, 0.6255, 0.0000)
Ba (0.0000, 0.0000, 0.0000)
Zn (0.7500, 0.2500, 0.5000)
Zn (0.2500, 0.7500, 0.5000)



Each structure's energy above the most stable one, in meV per atom: one 34; two 0.



one:
CuAg4 | GGA-PBE | optimized geometry

Computed properties:
crystal system: monoclinic

a = 7.6040 Å, b = 7.6040 Å, c = 5.7831 Å
α = 101.10°, β = 101.10°, γ = 31.02°
Element x y z (fractional)
Ag (0.0000, 0.0000, 0.0000)
Ag (0.1996, 0.1996, 0.0952)
Ag (0.5974, 0.5974, 0.2982)
Ag (0.8025, 0.8025, 0.3962)
Ag (0.0000, 0.0000, 0.5000)
Ag (0.1975, 0.1975, 0.6038)
Ag (0.4026, 0.4026, 0.7018)
Ag (0.8004, 0.8004, 0.9048)
Cu (0.4000, 0.4000, 0.1998)
Cu (0.6000, 0.6000, 0.8002)



two:
CuAg4 | GGA-PBE | optimized geometry

Computed properties:
crystal system: trigonal

a = 11.8264 Å, b = 11.8264 Å, c = 11.8264 Å
α = 13.99°, β = 13.99°, γ = 13.99°
Element x y z (fractional)
Ag (0.2014, 0.2014, 0.2014)
Ag (0.3957, 0.3957, 0.3957)
Ag (0.6043, 0.6043, 0.6043)
Ag (0.7986, 0.7986, 0.7986)
Cu (0.0000, 0.0000, 0.0000)



Each structure's energy above the most stable one, in meV per atom: one 5; two 0.